1.
DFT (PBE) results for crystalline LiAcBr4 at its relaxed geometry.

Cell and atoms, written as CIF:
```
data_LiAcBr4
_chemical_formula_sum 'Li4 Ac4 Br16'
_cell_length_a 10.1170
_cell_length_b 14.8554
_cell_length_c 7.1648
_cell_angle_alpha 90.00
_cell_angle_beta 134.82
_cell_angle_gamma 90.00
_symmetry_space_group_name_H-M 'C 1 2/c 1'
_symmetry_Int_Tables_number 15
loop_
_symmetry_equiv_pos_as_xyz
'x,y,z'
'-x,-y,-z'
'-x,y,-z+1/2'
'x,-y,z+1/2'
'x+1/2,y+1/2,z'
'-x+1/2,-y+1/2,-z'
'-x+1/2,y+1/2,-z+1/2'
'x+1/2,-y+1/2,z+1/2'
loop_
_atom_site_label
_atom_site_type_symbol
_atom_site_fract_x
_atom_site_fract_y
_atom_site_fract_z
Li1 Li 0.0000 0.1236 0.2500
Ac1 Ac 0.0000 0.3747 0.7500
Br1 Br 0.1642 0.2063 0.1405
Br2 Br 0.2258 0.4565 0.3099
```

Properties
**Raw formation energy**: -1.871 eV per atom
**E**: -3.99 eV/atom
**Offset from the most stable computed form**: 0.0 meV per atom
**N(E_F)**: 0.00 states/eV per cell

2.
DFT (PBE) results for crystalline LiAcBr3 at its relaxed geometry.

Cell and atoms, written as CIF:
```
data_LiAcBr3
_chemical_formula_sum 'Li1 Ac1 Br3'
_cell_length_a 5.0975
_cell_length_b 5.0975
_cell_length_c 5.0975
_cell_angle_alpha 90.00
_cell_angle_beta 90.00
_cell_angle_gamma 90.00
_symmetry_space_group_name_H-M 'P m -3 m'
_symmetry_Int_Tables_number 221
_symmetry_space_group_name_Hall '-P 4 2 3'
loop_
_atom_site_label
_atom_site_type_symbol
_atom_site_fract_x
_atom_site_fract_y
_atom_site_fract_z
Li1 Li 0.0000 0.0000 0.0000
Ac1 Ac 0.5000 0.5000 0.5000
Br1 Br 0.0000 0.0000 0.5000
```

Properties
**Raw formation energy**: -1.388 eV per atom
**E**: -3.60 eV/atom
**Offset from the most stable computed form**: 215.8 meV per atom
**N(E_F)**: 2.10 states/eV per cell

3.
DFT (PBE) results for crystalline LiAcBr3 at its relaxed geometry.

Cell and atoms, written as CIF:
```
data_LiAcBr3
_chemical_formula_sum 'Li2 Ac2 Br6'
_cell_length_a 3.9929
_cell_length_b 7.7156
_cell_length_c 10.1918
_cell_angle_alpha 69.09
_cell_angle_beta 89.99
_cell_angle_gamma 89.99
_symmetry_space_group_name_H-M 'P -1'
_symmetry_Int_Tables_number 2
loop_
_symmetry_equiv_pos_as_xyz
'x,y,z'
'-x,-y,-z'
loop_
_atom_site_label
_atom_site_type_symbol
_atom_site_fract_x
_atom_site_fract_y
_atom_site_fract_z
Li1 Li 0.2492 0.2837 0.1571
Ac1 Ac 0.2503 0.6838 0.3374
Br1 Br 0.2492 0.4300 0.8701
Br2 Br 0.2499 0.2442 0.4371
Br3 Br 0.2498 0.9648 0.8204
```

Properties
**Raw formation energy**: -1.603 eV per atom
**E**: -3.81 eV/atom
**Offset from the most stable computed form**: 0.0 meV per atom
**N(E_F)**: 2.93 states/eV per cell

4.
DFT (PBE) results for crystalline Li5Ac3Br12 at its relaxed geometry.

Cell and atoms, written as CIF:
```
data_Li5Ac3Br12
_chemical_formula_sum 'Li40 Ac24 Br96'
_cell_length_a 16.6527
_cell_length_b 16.6527
_cell_length_c 16.6527
_cell_angle_alpha 90.00
_cell_angle_beta 90.00
_cell_angle_gamma 90.00
_symmetry_space_group_name_H-M 'I a -3 d'
_symmetry_Int_Tables_number 230
_symmetry_space_group_name_Hall '-I 4bd 2c 3'
loop_
_atom_site_label
_atom_site_type_symbol
_atom_site_fract_x
_atom_site_fract_y
_atom_site_fract_z
Li1 Li 0.0000 0.0000 0.0000
Li2 Li 0.0000 0.2500 0.3750
Ac1 Ac 0.0000 0.2500 0.1250
Br1 Br 0.0316 0.0591 0.6505
```

Properties
**Raw formation energy**: -1.656 eV per atom
**E**: -3.75 eV/atom
**N(E_F)**: 21.87 states/eV per cell

5.
DFT (PBE) results for crystalline LiAc2Br2N2 at its relaxed geometry.

Cell and atoms, written as CIF:
```
data_LiAc2Br2N2
_chemical_formula_sum 'Li2 Ac4 Br4 N4'
_cell_length_a 4.1481
_cell_length_b 4.1481
_cell_length_c 18.7673
_cell_angle_alpha 90.00
_cell_angle_beta 90.00
_cell_angle_gamma 90.00
_symmetry_space_group_name_H-M 'I 4/m m m'
_symmetry_Int_Tables_number 139
_symmetry_space_group_name_Hall '-I 4 2'
loop_
_atom_site_label
_atom_site_type_symbol
_atom_site_fract_x
_atom_site_fract_y
_atom_site_fract_z
Li1 Li 0.0000 0.0000 0.0000
Ac1 Ac 0.0000 0.0000 0.4124
Br1 Br 0.0000 0.0000 0.1729
N1 N 0.0000 0.5000 0.0000
```

Properties
**Raw formation energy**: -1.263 eV per atom
**E**: -5.57 eV/atom
**N(E_F)**: 4.66 states/eV per cell

6.
DFT (PBE) results for crystalline LiAcBr2O at its relaxed geometry.

Cell and atoms, written as CIF:
```
data_LiAcBr2O
_chemical_formula_sum 'Li2 Ac2 Br4 O2'
_cell_length_a 4.2317
_cell_length_b 4.2317
_cell_length_c 13.3818
_cell_angle_alpha 90.00
_cell_angle_beta 90.00
_cell_angle_gamma 90.00
_symmetry_space_group_name_H-M 'P 4/n m m'
_symmetry_Int_Tables_number 129
loop_
_symmetry_equiv_pos_as_xyz
'x,y,z'
'-x,-y,-z'
'-y+1/2,x,z'
'y+1/2,-x,-z'
'-x+1/2,-y+1/2,z'
'x+1/2,y+1/2,-z'
'y,-x+1/2,z'
'-y,x+1/2,-z'
'x+1/2,-y,-z'
'-x+1/2,y,z'
'-y,-x,-z'
'y,x,z'
'-x,y+1/2,-z'
'x,-y+1/2,z'
'y+1/2,x+1/2,-z'
'-y+1/2,-x+1/2,z'
loop_
_atom_site_label
_atom_site_type_symbol
_atom_site_fract_x
_atom_site_fract_y
_atom_site_fract_z
Li1 Li 0.2500 0.2500 0.0875
Ac1 Ac 0.2500 0.2500 0.5963
Br1 Br 0.2500 0.2500 0.2874
Br2 Br 0.2500 0.2500 0.8970
O1 O 0.2500 0.7500 0.5000
```

Properties
**Raw formation energy**: -2.371 eV per atom
**E**: -5.24 eV/atom
**N(E_F)**: 0.00 states/eV per cell

7.
DFT (PBE) results for crystalline LiAc2Br2O2 at its relaxed geometry.

Cell and atoms, written as CIF:
```
data_LiAc2Br2O2
_chemical_formula_sum 'Li1 Ac2 Br2 O2'
_cell_length_a 4.2683
_cell_length_b 4.2683
_cell_length_c 12.5530
_cell_angle_alpha 90.00
_cell_angle_beta 90.00
_cell_angle_gamma 120.00
_symmetry_space_group_name_H-M 'P -3 m 1'
_symmetry_Int_Tables_number 164
_symmetry_space_group_name_Hall '-P 3 2"'
loop_
_atom_site_label
_atom_site_type_symbol
_atom_site_fract_x
_atom_site_fract_y
_atom_site_fract_z
Li1 Li 0.0000 0.0000 0.0000
Ac1 Ac 0.3333 0.6667 0.6204
Br1 Br 0.0000 0.0000 0.2027
O1 O 0.3333 0.6667 0.4235
```

Properties
**Raw formation energy**: -2.379 eV per atom
**E**: -5.72 eV/atom
**N(E_F)**: 2.56 states/eV per cell

8.
DFT (PBE) results for crystalline RbLi2AcBr6 at its relaxed geometry.

Cell and atoms, written as CIF:
```
data_RbLi2AcBr6
_chemical_formula_sum 'Rb1 Li2 Ac1 Br6'
_cell_length_a 7.2603
_cell_length_b 7.2655
_cell_length_c 9.3721
_cell_angle_alpha 90.03
_cell_angle_beta 112.72
_cell_angle_gamma 119.94
_symmetry_space_group_name_H-M 'P 1'
_symmetry_Int_Tables_number 1
loop_
_symmetry_equiv_pos_as_xyz
'x,y,z'
loop_
_atom_site_label
_atom_site_type_symbol
_atom_site_fract_x
_atom_site_fract_y
_atom_site_fract_z
Rb1 Rb 0.0000 0.0000 0.0000
Li1 Li 0.3447 0.1713 0.5165
Li2 Li 0.6547 0.8278 0.4836
Ac1 Ac 0.9997 0.5000 0.5000
Br1 Br 0.1262 0.2069 0.6900
Br2 Br 0.2293 0.4377 0.3091
Br3 Br 0.4824 0.9189 0.6905
Br4 Br 0.5169 0.0810 0.3101
Br5 Br 0.7692 0.5628 0.6900
Br6 Br 0.8735 0.7935 0.3101
```

Properties
**Raw formation energy**: -1.764 eV per atom
**E**: -3.66 eV/atom
**N(E_F)**: 0.00 states/eV per cell

Question: Look up the raw formation energy of the sixth one.
Answer: -2.371 eV per atom

Question: What is the E in the fourth record?
Answer: -3.75 eV/atom